A plane-wave DFT calculation with PBE was carried out for an optimized crystal structure of HfCdPb2.

It has space group I-42d (No. 122), with a = 8.203 Å, b = 8.203 Å, c = 6.421 Å, α = 90.00°, β = 90.00° and γ = 90.00°. Symmetry generates all atoms from Hf at (0.000, 0.000, 0.000), Cd at (0.000, 0.000, 0.500) and Pb at (0.246, 0.250, 0.625).

For the total energy, the calculation gives -66.7 eV for the cell shown. As for the density of states at the Fermi level: 3.182 states/eV/f.u. Its formation energy is 0.3996 eV per atom.


A plane-wave DFT calculation with PBE was carried out for an optimized crystal structure of HfCdPb2.

It has space group R-3m (No. 166, hexagonal axes), with a = 3.2737 Å, b = 3.2737 Å, c = 35.7338 Å, α = 90.00°, β = 90.00° and γ = 120.00°. Symmetry generates all atoms from Hf at (0.0000, 0.0000, 0.0000), Cd at (0.0000, 0.0000, 0.5000) and Pb at (0.0000, 0.0000, 0.0850).

For the total energy, the calculation gives -50.7 eV for the cell shown. As for the density of states at the Fermi level: 3.224 states/eV/f.u. Its formation energy is 0.3490 eV per atom.


Please write out number 2 again, unchanged.
A plane-wave DFT calculation with PBE was carried out for an optimized crystal structure of HfCdPb2.

It has space group R-3m (No. 166, hexagonal axes), with a = 3.2737 Å, b = 3.2737 Å, c = 35.7338 Å, α = 90.00°, β = 90.00° and γ = 120.00°. Symmetry generates all atoms from Hf at (0.0000, 0.0000, 0.0000), Cd at (0.0000, 0.0000, 0.5000) and Pb at (0.0000, 0.0000, 0.0850).

For the total energy, the calculation gives -50.7 eV for the cell shown. As for the density of states at the Fermi level: 3.224 states/eV/f.u. Its formation energy is 0.3490 eV per atom.


> What is the formula in the first record?

HfCdPb2